A plane-wave DFT calculation with GGA-PBE was carried out for a relaxed Tm5Zn2Rh2 crystal.

The value obtained for the total magnetic moment is 0.00 μB per formula unit. The formation enthalpy at 0 K comes out at -0.561 eV per atom. The value obtained for the volume is 824.4 Å³/cell.

It has space group Cmce (No. 64), with a = 15.235 Å, b = 7.275 Å, c = 7.438 Å, α = 90.00°, β = 90.00° and γ = 90.00°. Symmetry generates all atoms from Tm at (0.000, 0.000, 0.000), Tm at (0.129, 0.175, 0.326), Zn at (0.213, 0.000, 0.000) and Rh at (0.000, 0.130, 0.635).

=====

A plane-wave DFT calculation with GGA-PBE was carried out for a relaxed Tm3ZnRh4 crystal.

The value obtained for the total magnetic moment is 0.00 μB per formula unit. The formation enthalpy at 0 K comes out at -0.834 eV per atom. The value obtained for the volume is 142.4 Å³/cell.

It has space group P4/mmm (No. 123), with a = 4.667 Å, b = 4.667 Å, c = 6.537 Å, α = 90.00°, β = 90.00° and γ = 90.00°. Symmetry generates all atoms from Tm at (0.000, 0.000, 0.000), Tm at (0.000, 0.000, 0.500), Tm at (0.500, 0.500, 0.000), Zn at (0.500, 0.500, 0.500) and Rh at (0.000, 0.500, 0.256).

=====

A plane-wave DFT calculation with GGA-PBE was carried out for a relaxed Tm6Zn2Rh crystal.

The value obtained for the total magnetic moment is 0.00 μB per formula unit. The calculation puts the relative energy among the computed polymorphs at 146 meV/atom. The formation enthalpy at 0 K comes out at -0.202 eV per atom. The value obtained for the volume is 479.6 Å³/cell.

It has space group Immm (No. 71), with a = 4.895 Å, b = 6.830 Å, c = 14.346 Å, α = 90.00°, β = 90.00° and γ = 90.00°. Symmetry generates all atoms from Tm at (0.000, 0.242, 0.000), Tm at (0.000, 0.253, 0.339), Zn at (0.000, 0.500, 0.167) and Rh at (0.000, 0.500, 0.500).

=====

A plane-wave DFT calculation with GGA-PBE was carried out for a relaxed Tm4ZnRh5 crystal.

The value obtained for the total magnetic moment is 0.00 μB per formula unit. The formation enthalpy at 0 K comes out at -0.859 eV per atom. The value obtained for the volume is 181.1 Å³/cell.

It has space group P4/mmm (No. 123), with a = 3.335 Å, b = 3.335 Å, c = 16.288 Å, α = 90.00°, β = 90.00° and γ = 90.00°. Symmetry generates all atoms from Tm at (0.000, 0.000, 0.105), Tm at (0.000, 0.000, 0.315), Zn at (0.000, 0.000, 0.500), Rh at (0.500, 0.500, 0.000), Rh at (0.500, 0.500, 0.208) and Rh at (0.500, 0.500, 0.414).

=====

Look up the total magnetic moment of the third one.
0.00 μB per formula unit